Compound: ScCr2Pt
Source: Alexandria via LeMat-Bulk
Functional: PBE-GGA
Structure: relaxed

The structure in POSCAR format:
```
ScCr2Pt
1.0
-7.140 -4.565 0.650
-5.178 -6.651 1.093
-6.043 -4.984 3.300
Pt Cr Sc
1 2 1
direct
0.505 0.505 0.505
0.260 0.260 0.260
0.988 0.988 0.988
0.747 0.747 0.747
```

Output
raw total energy = -31.35 eV/cell
ΔH_f (0 K) = 0.067 eV per atom
V = 61 Å³ per cell
density of states at the Fermi level = 5.5 states/eV per cell